No. 1
TaAu3: optimized geometry, PBE.

The size of the total moment comes out at 0.00 μB/cell. As for the electronic total energy: -0.3978 Ry per atom. Its space group is Pmmm (47). For the formation enthalpy at 0 K, the calculation gives 0.0 eV per formula unit.

extended XYZ file:
```
4
Lattice="2.998 0.000 0.000 0.000 3.875 0.000 0.000 0.000 6.172" Properties=species:S:1:pos:R:3 pbc="T T T"
Au 0.000 0.000 0.061
Au 0.000 0.000 3.024
Au 1.499 1.938 4.629
Ta 1.499 1.938 1.543
```



No. 2
TaAu3: optimized geometry, PBE.

The size of the total moment comes out at 0.00 μB/cell. As for the electronic total energy: -0.3831 Ry per atom. Its space group is R-3m (166). For the formation enthalpy at 0 K, the calculation gives 0.8 eV per formula unit.

extended XYZ file:
```
4
Lattice="-0.057 -5.519 0.616 3.775 2.846 2.914 -4.859 2.499 -0.995" Properties=species:S:1:pos:R:3 pbc="T T T"
Au 0.000 0.000 0.000
Au -0.542 2.673 0.960
Au 1.859 -1.337 1.765
Ta -2.458 -1.510 -0.190
```



No. 3
Ta5Au: optimized geometry, PBE.

The polymorph energy (0 for the lowest one) comes out at 179 meV/atom. The size of the total moment comes out at 0.00 μB/cell. As for the electronic total energy: -0.7542 Ry per atom. Its space group is Amm2 (38). For the formation enthalpy at 0 K, the calculation gives 1.0 eV per formula unit.

extended XYZ file:
```
6
Lattice="-7.879 -1.249 1.374 7.876 -1.507 -1.108 0.779 0.473 4.896" Properties=species:S:1:pos:R:3 pbc="T T T"
Ta 4.645 -1.211 1.911
Ta 2.757 -1.423 -0.301
Ta -0.579 -1.126 2.734
Ta -2.495 -1.337 0.526
Ta -5.878 -1.039 3.569
Au -7.794 -1.251 1.361
```



No. 4
Ta2Au: optimized geometry, PBE.

The size of the total moment comes out at 0.00 μB/cell. As for the electronic total energy: -0.6076 Ry per atom. Its space group is Fm-3m (225). For the formation enthalpy at 0 K, the calculation gives 2.2 eV per formula unit.

extended XYZ file:
```
3
Lattice="4.464 0.000 0.000 2.232 3.866 0.000 2.232 1.289 3.645" Properties=species:S:1:pos:R:3 pbc="T T T"
Au 0.000 0.000 0.000
Ta 6.696 3.866 2.734
Ta 2.232 1.289 0.911
```



No. 5
TaAu3: optimized geometry, PBE.

The size of the total moment comes out at 0.00 μB/cell. As for the electronic total energy: -0.3970 Ry per atom. Its space group is R-3m (166). For the formation enthalpy at 0 K, the calculation gives 0.1 eV per formula unit.

extended XYZ file:
```
4
Lattice="9.601 -0.014 -0.008 9.144 2.926 -0.008 9.144 1.421 2.558" Properties=species:S:1:pos:R:3 pbc="T T T"
Au 0.048 0.007 0.004
Au 6.972 1.083 0.635
Au 13.897 2.159 1.267
Ta 20.917 3.250 1.906
```



No. 6
TaAu2: optimized geometry, PBE.

The size of the total moment comes out at 0.00 μB/cell. As for the electronic total energy: -0.4431 Ry per atom. Its space group is I4_1/amd (141). For the formation enthalpy at 0 K, the calculation gives 0.3 eV per formula unit.

extended XYZ file:
```
12
Lattice="-0.914 -3.463 -2.107 3.649 -1.643 1.117 -6.687 -2.286 10.758" Properties=species:S:1:pos:R:3 pbc="T T T"
Au -2.660 -2.419 5.131
Au -1.293 -4.973 4.637
Au -3.495 -5.661 10.821
Au 1.824 -0.822 0.559
Au -4.409 -4.011 8.506
Au 0.457 -3.381 1.262
Au -2.206 -3.323 2.321
Au -4.028 -4.979 5.835
Ta -0.916 -0.833 1.767
Ta -3.037 -6.559 8.001
Ta -1.751 -4.074 7.456
Ta 0.081 -2.408 3.923
```



No. 7
TaAu3: optimized geometry, PBE.

The size of the total moment comes out at 0.00 μB/cell. As for the electronic total energy: -0.3879 Ry per atom. Its space group is P4/mmm (123). For the formation enthalpy at 0 K, the calculation gives 0.6 eV per formula unit.

extended XYZ file:
```
4
Lattice="-1.858 -1.856 -4.336 1.062 -4.705 1.559 -2.574 -0.189 1.184" Properties=species:S:1:pos:R:3 pbc="T T T"
Au 0.000 0.000 0.000
Au -2.216 -1.022 -1.576
Au -0.398 -3.280 -1.388
Ta -0.756 -2.447 1.371
```



No. 8
Ta5Au3: optimized geometry, PBE.

The polymorph energy (0 for the lowest one) comes out at 86 meV/atom. The size of the total moment comes out at 0.00 μB/cell. As for the electronic total energy: -0.6286 Ry per atom. Its space group is Fmm2 (42). For the formation enthalpy at 0 K, the calculation gives 0.7 eV per formula unit.

extended XYZ file:
```
16
Lattice="7.916 0.001 0.000 -6.221 4.894 0.000 -0.847 -2.446 7.483" Properties=species:S:1:pos:R:3 pbc="T T T"
Au -1.168 0.407 3.789
Au -0.421 -1.221 7.374
Au -2.686 3.674 1.309
Au 3.535 -1.222 6.334
Au 0.423 1.227 7.375
Au 2.017 2.046 3.790
Ta -4.895 1.694 6.403
Ta 0.977 -0.335 2.195
Ta -3.109 2.451 3.799
Ta -2.173 0.752 6.403
Ta 1.174 -0.404 5.124
Ta -0.128 2.789 2.195
Ta 2.975 1.715 1.196
Ta 3.958 0.000 3.799
Ta -0.325 2.856 5.125
Ta 5.790 0.740 1.196
```



No. 9
Ta5Au: optimized geometry, PBE.

The polymorph energy (0 for the lowest one) comes out at 682 meV/atom. The size of the total moment comes out at 0.00 μB/cell. As for the electronic total energy: -0.7172 Ry per atom. Its space group is P6/mmm (191). For the formation enthalpy at 0 K, the calculation gives 4.0 eV per formula unit.

extended XYZ file:
```
6
Lattice="2.790 -4.833 0.000 2.790 4.833 0.000 0.000 0.000 4.520" Properties=species:S:1:pos:R:3 pbc="T T T"
Ta 1.395 2.416 2.260
Ta 2.790 1.611 0.000
Ta 1.395 -2.416 2.260
Ta 2.790 0.000 2.260
Ta 2.790 -1.611 0.000
Au 0.000 0.000 0.000
```



No. 10
TaAu2: optimized geometry, PBE.

The size of the total moment comes out at 1.70 μB/cell. As for the electronic total energy: -0.4162 Ry per atom. Its space group is Fd-3m (227). For the formation enthalpy at 0 K, the calculation gives 1.4 eV per formula unit.

extended XYZ file:
```
6
Lattice="0.000 3.811 3.811 3.811 0.000 3.811 3.811 3.811 0.000" Properties=species:S:1:pos:R:3 pbc="T T T"
Ta 5.717 5.717 5.717
Ta 3.811 3.811 3.811
Au 2.858 0.953 2.858
Au 2.858 2.858 0.953
Au 0.953 2.858 2.858
Au 0.953 0.953 0.953
```



No. 11
Ta5Au: optimized geometry, PBE.

The polymorph energy (0 for the lowest one) comes out at 192 meV/atom. The size of the total moment comes out at 0.00 μB/cell. As for the electronic total energy: -0.7532 Ry per atom. Its space group is P-62m (189). For the formation enthalpy at 0 K, the calculation gives 1.1 eV per formula unit.

extended XYZ file:
```
6
Lattice="2.546 -4.409 0.000 2.546 4.409 0.000 0.000 0.000 4.921" Properties=species:S:1:pos:R:3 pbc="T T T"
Ta 1.685 -2.919 0.000
Ta 1.720 0.000 0.000
Ta 1.685 2.919 0.000
Ta 2.546 -1.470 2.461
Ta 2.546 1.470 2.461
Au 0.000 0.000 2.461
```



No. 12
Ta2Au: optimized geometry, PBE.

The size of the total moment comes out at 0.00 μB/cell. As for the electronic total energy: -0.5904 Ry per atom. Its space group is Pa-3 (205). For the formation enthalpy at 0 K, the calculation gives 2.9 eV per formula unit.

extended XYZ file:
```
12
Lattice="6.360 0.000 0.000 0.000 6.360 0.000 0.000 0.000 6.360" Properties=species:S:1:pos:R:3 pbc="T T T"
Au 0.000 0.000 0.000
Au 0.000 3.180 3.180
Au 3.180 0.000 3.180
Au 3.180 3.180 0.000
Ta 0.781 3.961 5.579
Ta 0.781 5.579 2.399
Ta 2.399 0.781 5.579
Ta 2.399 2.399 2.399
Ta 3.961 3.961 3.961
Ta 3.961 5.579 0.781
Ta 5.579 0.781 3.961
Ta 5.579 2.399 0.781
```



No. 13
TaAu6: optimized geometry, PBE.

The size of the total moment comes out at 2.44 μB/cell. As for the electronic total energy: -0.3089 Ry per atom. Its space group is P4/nbm (125). For the formation enthalpy at 0 K, the calculation gives 2.1 eV per formula unit.

extended XYZ file:
```
14
Lattice="-2.514 -3.083 3.588 -3.585 -1.410 -3.723 5.411 -7.271 -2.455" Properties=species:S:1:pos:R:3 pbc="T T T"
Ta -1.257 -1.541 1.794
Ta -1.792 -0.705 -1.862
Au -2.288 -3.270 -0.413
Au 0.762 -1.023 -0.346
Au 4.649 -6.247 -2.109
Au 1.600 -8.494 -2.177
Au -2.552 -6.104 -0.473
Au -1.797 -4.760 -2.789
Au -0.407 -4.967 0.886
Au 0.348 -3.623 -1.429
Au -1.186 -7.907 -2.185
Au 0.573 -6.168 -3.457
Au 0.254 -7.633 0.180
Au 2.013 -5.894 -1.093
```



No. 14
TaAu7: optimized geometry, PBE.

The size of the total moment comes out at 2.06 μB/cell. As for the electronic total energy: -0.3072 Ry per atom. Its space group is Fm-3m (225). For the formation enthalpy at 0 K, the calculation gives 1.4 eV per formula unit.

extended XYZ file:
```
8
Lattice="-4.023 -1.908 3.874 -1.164 3.163 4.845 -5.163 2.812 0.519" Properties=species:S:1:pos:R:3 pbc="T T T"
Ta 0.000 0.000 0.000
Au -2.011 -0.954 1.937
Au -2.581 1.406 0.259
Au -4.593 0.452 2.196
Au -0.582 1.581 2.422
Au -2.593 0.627 4.359
Au -3.163 2.987 2.682
Au -5.175 2.033 4.618
```



No. 15
TaAu2: optimized geometry, PBE.

The size of the total moment comes out at 0.00 μB/cell. As for the electronic total energy: -0.4331 Ry per atom. Its space group is I4/mcm (140). For the formation enthalpy at 0 K, the calculation gives 0.7 eV per formula unit.

extended XYZ file:
```
6
Lattice="-3.330 3.330 2.617 3.330 -3.330 2.617 3.330 3.330 -2.617" Properties=species:S:1:pos:R:3 pbc="T T T"
Ta 0.000 0.000 3.925
Ta 0.000 0.000 1.308
Au 0.982 2.348 2.617
Au 0.982 4.312 0.000
Au 2.348 -0.982 2.617
Au 2.348 0.982 0.000
```



No. 16
TaAu4: optimized geometry, PBE.

The size of the total moment comes out at 0.00 μB/cell. As for the electronic total energy: -0.3255 Ry per atom. Its space group is Im-3m (229). For the formation enthalpy at 0 K, the calculation gives 2.8 eV per formula unit.

extended XYZ file:
```
5
Lattice="-3.553 1.792 3.538 0.556 3.563 -3.918 -1.694 -4.622 -2.031" Properties=species:S:1:pos:R:3 pbc="T T T"
Ta 0.000 0.000 0.000
Au -1.776 0.896 1.769
Au -2.346 0.367 -1.205
Au 0.278 1.781 -1.959
Au -0.847 -2.311 -1.015
```



No. 17
Ta2Au: optimized geometry, PBE.

The size of the total moment comes out at 0.00 μB/cell. As for the electronic total energy: -0.6308 Ry per atom. Its space group is P6_3/mmc (194). For the formation enthalpy at 0 K, the calculation gives 1.2 eV per formula unit.

extended XYZ file:
```
12
Lattice="5.445 0.000 0.000 -2.723 4.716 0.000 0.000 0.000 8.808" Properties=species:S:1:pos:R:3 pbc="T T T"
Au 0.000 3.144 0.592
Au 0.000 3.144 3.812
Au 2.723 1.572 4.996
Au 2.723 1.572 8.216
Ta 0.000 0.000 0.000
Ta 0.000 0.000 4.404
Ta 0.000 1.586 6.606
Ta -1.349 3.923 6.606
Ta 1.374 0.793 2.202
Ta 1.349 3.923 6.606
Ta 4.072 0.793 2.202
Ta 2.723 3.129 2.202
```



No. 18
TaAu2: optimized geometry, PBE.

The size of the total moment comes out at 0.00 μB/cell. As for the electronic total energy: -0.4488 Ry per atom. Its space group is Pnma (62). For the formation enthalpy at 0 K, the calculation gives 0.1 eV per formula unit.

extended XYZ file:
```
12
Lattice="-2.344 -1.144 -5.517 0.499 -3.921 0.601 -8.068 -0.486 3.529" Properties=species:S:1:pos:R:3 pbc="T T T"
Au -2.124 -1.224 0.426
Au -4.874 -1.415 1.470
Au -1.142 -3.401 -1.291
Au -6.573 -3.753 0.927
Au -3.340 -1.799 -2.313
Au -8.772 -2.151 -0.096
Au -5.039 -4.137 -2.857
Au -7.790 -4.328 -1.813
Ta -7.626 -1.575 2.707
Ta -3.917 -3.573 -0.110
Ta -5.996 -1.979 -1.277
Ta -2.288 -3.977 -4.094
```



No. 19
Ta2Au: optimized geometry, PBE.

The size of the total moment comes out at 0.00 μB/cell. As for the electronic total energy: -0.6612 Ry per atom. Its space group is Pnma (62). For the formation enthalpy at 0 K, the calculation gives 0.0 eV per formula unit.

extended XYZ file:
```
12
Lattice="5.863 0.000 0.000 0.000 4.091 0.000 0.000 0.000 8.940" Properties=species:S:1:pos:R:3 pbc="T T T"
Au 0.671 1.023 8.175
Au 2.261 3.068 3.704
Au 3.602 1.023 5.236
Au 5.192 3.068 0.766
Ta 0.821 1.023 2.175
Ta 0.660 1.023 5.184
Ta 2.272 3.068 0.713
Ta 2.110 3.068 6.645
Ta 3.752 1.023 2.295
Ta 3.591 1.023 8.227
Ta 5.203 3.068 3.757
Ta 5.042 3.068 6.765
```



No. 20
Ta5Au: optimized geometry, PBE.

The polymorph energy (0 for the lowest one) comes out at 0 meV/atom. The size of the total moment comes out at 0.00 μB/cell. As for the electronic total energy: -0.7673 Ry per atom. Its space group is Cmmm (65). For the formation enthalpy at 0 K, the calculation gives -0.1 eV per formula unit.

extended XYZ file:
```
6
Lattice="-3.528 5.871 -1.517 0.381 -6.483 2.653 1.162 1.778 4.177" Properties=species:S:1:pos:R:3 pbc="T T T"
Au -3.419 5.528 -1.401
Ta -2.188 4.361 1.381
Ta -2.120 1.423 -0.016
Ta -0.884 0.240 2.772
Ta -0.809 -2.721 1.383
Ta 0.420 -3.881 4.163
```